Li2YMgF | GGA-PBE | optimized geometry

Lattice parameters (Å, degrees): 6.1625 6.4317 6.1625 90.00 90.00 90.00
Closest atoms and distances in Å follow each position.
Fractional positions:
Y: 0.0000 0.0000 0.0000  4 Li 3.08, 2 Mg 3.22
Mg: 0.0000 0.5000 0.0000  2 Y 3.22
Li: 0.0000 0.0000 0.5000  2 Y 3.08
Li: 0.5000 0.0000 0.0000  2 Y 3.08
F: 0.5000 0.5000 0.5000  4 Mg 4.36, 8 Li 4.45

Values from the calculation:
**Formation energy from raw total energies**: 0.67 eV per atom
**DOS(E_F)**: 2.90 states/eV/f.u.
**Distance to the lowest polymorph of the same formula**: 0.606 eV per atom
**Magnetization**: 2.0 μB/f.u.